First-principles (PBE) data for crystalline CaPuZrN3 at its relaxed geometry, as listed in Alexandria via LeMat-Bulk.

Properties
Energy relative to the elements, uncorrected = -1.178 eV per atom
SG = P2_1/m (11)
Theoretical density = 6.83 g/cm3

Unit cell a=3.359 b=6.687 c=10.333 alpha=119.13 beta=90.00 gamma=90.00
Site moments in Bohr magnetons follow the coordinates.
Positions (direct):
N: 0.250 0.034 0.841  -0.07
N: 0.750 0.467 0.109  -0.01
N: 0.250 0.533 0.891  -0.01
N: 0.750 0.091 0.619  -0.18
N: 0.250 0.909 0.381  -0.18
N: 0.750 0.966 0.159  -0.07
Pu: 0.250 0.860 0.581  4.74
Pu: 0.750 0.140 0.419  4.74
Zr: 0.750 0.293 0.868  0.03
Zr: 0.250 0.707 0.132  0.03
Ca: 0.250 0.224 0.135  0.02
Ca: 0.750 0.776 0.865  0.02